Entry 1:
YMgBeO2 at its PBEsol-relaxed geometry. Source: Alexandria via LeMat-Bulk, functional meta-GGA SCAN. Values from VASP.

Results
Its total energy is -10.10 eV/atom. For the formation energy from raw total energies, the calculation gives -0.178 eV per atom. The space group is P4/mmm (123).

The structure in Quantum ESPRESSO input format:
```
&SYSTEM
  ibrav = 0, nat = 5, ntyp = 4
/
ATOMIC_SPECIES
Y 88.91 Y.upf
Be 9.01 Be.upf
Mg 24.30 Mg.upf
O 16.00 O.upf
ATOMIC_POSITIONS crystal
Y 0.000 0.000 0.500
Be 0.500 0.500 0.500
Mg 0.000 0.000 0.000
O 0.000 0.500 0.000
O 0.500 0.000 0.000
CELL_PARAMETERS angstrom
-3.568 -0.616 -1.363
-0.749 -2.316 3.008
-1.804 4.231 2.809
```


Entry 2:
MgBeOs at its PBEsol-relaxed geometry. Source: Alexandria via LeMat-Bulk, functional meta-GGA SCAN. Values from VASP.

Results
The energy of formation from the pure elements is 0.21 eV/atom. Its total energy is -26.86 eV/atom. The space group is Fmm2 (42).

The structure in Quantum ESPRESSO input format:
```
&SYSTEM
  ibrav = 0, nat = 3, ntyp = 3
/
ATOMIC_SPECIES
Be 9.01 Be.upf
Mg 24.30 Mg.upf
Os 190.23 Os.upf
ATOMIC_POSITIONS crystal
Be 0.014 0.014 0.028
Mg 0.335 0.335 0.670
Os 0.651 0.651 0.303
CELL_PARAMETERS angstrom
-2.116 -1.651 -0.136
2.134 -1.175 1.134
-1.882 3.357 5.040
```


Entry 3:
MgBe2Os at its PBEsol-relaxed geometry. Source: Alexandria via LeMat-Bulk, functional meta-GGA SCAN. Values from VASP.

Results
The energy of formation from the pure elements is 0.32 eV/atom. Its total energy is -21.07 eV/atom. The space group is Cmm2 (35).

The structure in Quantum ESPRESSO input format:
```
&SYSTEM
  ibrav = 0, nat = 4, ntyp = 3
/
ATOMIC_SPECIES
Be 9.01 Be.upf
Mg 24.30 Mg.upf
Os 190.23 Os.upf
ATOMIC_POSITIONS crystal
Be 0.000 0.000 0.996
Be 0.500 0.500 0.781
Mg 0.000 0.000 0.506
Os 0.500 0.500 0.217
CELL_PARAMETERS angstrom
-1.455 -0.766 -2.055
0.100 -1.877 1.842
-6.406 3.010 3.414
```


| no. | M_tot (μB per formula unit) |
| --- | --- |
| 1 | 0.3 |
| 2 | 0.0 |
| 3 | 0.0 |